The following is a DFT calculation (PBE-GGA) of an optimized crystal structure of RuPb2Se.

Summary:
Calculated density = 9.91 g/cm³
V = 199.2 Å³/cell
Raw formation energy = 0.128 eV per atom
Symmetry = No. 44

```
RuPb2Se
1.0
3.3049 0.0000 0.0000
0.0000 4.4397 0.0000
0.0000 0.0000 13.5751
Ru Pb Se
2 4 2
direct
0.0000 0.0000 0.0000
0.5000 0.5000 0.5000
0.0000 0.0000 0.5577
0.0000 0.5000 0.7306
0.5000 0.0000 0.2306
0.5000 0.5000 0.0577
0.0000 0.5000 0.3681
0.5000 0.0000 0.8681
```